! PBEsol MgH12Cl2O6, relaxed; values from VASP
! - Total magnetization: 0.0 μB/cell
! - Space-group type: C2/m
! - N(E_F): 0.000 states/eV per atom
! - Electronic total energy: -101.79 eV for the cell shown
&SYSTEM
  ibrav = 0, nat = 21, ntyp = 4
/
ATOMIC_SPECIES
O 16.00 O.upf
H 1.01 H.upf
Cl 35.45 Cl.upf
Mg 24.30 Mg.upf
CELL_PARAMETERS angstrom
6.146 0.018 -0.013
0.352 5.890 -0.063
-0.352 -1.909 5.573
ATOMIC_POSITIONS angstrom
O 4.764 2.791 4.542
H 4.387 2.993 3.645
O 0.900 4.296 1.089
H 5.871 0.312 3.967
H 4.107 2.274 5.062
O 1.382 1.208 0.955
O 1.382 3.454 4.063
H 1.759 1.006 1.851
H 2.039 1.725 0.435
H 2.039 4.110 3.735
H 1.759 2.539 3.973
H 4.324 0.001 4.192
Cl 2.302 0.501 3.831
Cl 3.843 3.498 1.666
H 1.821 3.998 1.304
O 5.246 -0.297 4.408
H 4.387 1.460 1.523
O 4.764 0.545 1.434
H 4.107 -0.111 1.762
Mg 0.000 0.000 0.000
H 0.275 3.686 1.529